Entry 1:
A plane-wave DFT calculation with GGA-PBE was carried out for a relaxed structure of PuUOs.

- Distance to the lowest polymorph of the same formula: 11 meV per atom
- V: 56.1 Å³ per cell
- Crystal system: trigonal
- DFT formation energy: -0.079 eV per atom

Cell: 4.6554 4.6554 2.9901 Å, 90.00 90.00 120.00°
Closest atoms and distances in Å follow each position.
Fractional coordinates of all 3 atoms:
1 Pu 0.0000 0.0000 0.0000  3 U 2.80, 3 Os 2.94, 2 Pu 2.99
2 U 0.3333 0.6667 0.7419  3 Pu 2.80, 3 Os 2.87, 2 U 2.99
3 Os 0.6667 0.3333 0.4007  3 U 2.87, 3 Pu 2.94, 2 Os 2.99

Entry 2:
A plane-wave DFT calculation with GGA-PBE was carried out for a relaxed structure of SrMgPdAu.

- V: 292.5 Å³ per cell
- Crystal system: trigonal
- DFT formation energy: -0.659 eV per atom

Cell: 4.6208 4.6208 15.8171 Å, 90.00 90.00 120.00°
Closest atoms and distances in Å follow each position.
Fractional coordinates of all 12 atoms:
1 Sr 0.0000 0.0000 0.0000  4 Pd 3.21-3.37, 4 Au 3.26-3.34
2 Sr 0.3333 0.6667 0.6667  4 Pd 3.21-3.37, 4 Au 3.26-3.34
3 Sr 0.6667 0.3333 0.3333  4 Pd 3.21-3.37, 4 Au 3.26-3.34
4 Mg 0.0000 0.0000 0.5051  3 Pd 2.71, 3 Au 2.76
5 Mg 0.3333 0.6667 0.1718  3 Pd 2.71, 3 Au 2.76
6 Mg 0.6667 0.3333 0.8385  3 Pd 2.71, 3 Au 2.76
7 Pd 0.0000 0.0000 0.2030  3 Mg 2.71, 3 Au 2.93
8 Pd 0.3333 0.6667 0.8697  3 Mg 2.71, 3 Au 2.93
9 Pd 0.6667 0.3333 0.5363  3 Mg 2.71, 3 Au 2.93
10 Au 0.0000 0.0000 0.7937  3 Mg 2.76, 3 Pd 2.93
11 Au 0.3333 0.6667 0.4604  3 Mg 2.76, 3 Pd 2.93
12 Au 0.6667 0.3333 0.1270  3 Mg 2.76, 3 Pd 2.93

Entry 3:
A plane-wave DFT calculation with GGA-PBE was carried out for a relaxed structure of SrMn2Br.

- Distance to the lowest polymorph of the same formula: 78 meV per atom
- Formation energy without anion corrections: 1.89 kcal/mol of atoms
- V: 118.1 Å³ per cell
- Crystal system: tetragonal

Cell: 3.7422 3.7422 8.4338 Å, 90.00 90.00 90.00°
Closest atoms and distances in Å follow each position.
Fractional coordinates of all 4 atoms:
1 Sr 0.0000 0.0000 0.0000  4 Br 3.12, 1 Mn 3.22
2 Mn 0.0000 0.0000 0.6176  4 Mn 2.76
3 Mn 0.5000 0.5000 0.7108  4 Mn 2.76
4 Br 0.5000 0.5000 0.1961  4 Sr 3.12

Entry 4:
A plane-wave DFT calculation with GGA-PBE was carried out for a relaxed structure of BaCd2SnIr.

- V: 144.2 Å³ per cell
- Crystal system: tetragonal
- DFT formation energy: -0.273 eV per atom

Cell: 5.3111 5.3111 5.1121 Å, 90.00 90.00 90.00°
Closest atoms and distances in Å follow each position.
Fractional coordinates of all 5 atoms:
1 Ba 0.0000 0.0000 0.0000  8 Cd 3.69, 4 Sn 3.76
2 Cd 0.0000 0.5000 0.5000  2 Ir 2.66
3 Cd 0.5000 0.0000 0.5000  2 Ir 2.66
4 Sn 0.5000 0.5000 0.0000  2 Ir 2.56
5 Ir 0.5000 0.5000 0.5000  2 Sn 2.56, 4 Cd 2.66

Entry 5:
A plane-wave DFT calculation with GGA-PBE was carried out for a relaxed structure of Hf4ZnIn2.

- Distance to the lowest polymorph of the same formula: 567 meV per atom
- V: 345.2 Å³ per cell
- Crystal system: tetragonal
- DFT formation energy: 0.448 eV per atom

Cell: 4.7867 4.7867 15.0660 Å, 90.00 90.00 90.00°
Closest atoms and distances in Å follow each position.
Fractional coordinates of all 14 atoms:
1 Hf 0.0000 0.0000 0.1712  1 Zn 2.58
2 Hf 0.0000 0.0000 0.8288  1 Zn 2.58
3 Hf 0.0000 0.5000 0.0000  2 Zn 2.39
4 Hf 0.0000 0.5000 0.5000  2 Zn 2.39
5 Hf 0.5000 0.0000 0.0000  2 Zn 2.39
6 Hf 0.5000 0.0000 0.5000  2 Zn 2.39
7 Hf 0.5000 0.5000 0.3288  1 Zn 2.58
8 Hf 0.5000 0.5000 0.6712  1 Zn 2.58
9 Zn 0.0000 0.0000 0.0000  6 Hf 2.39-2.58
10 Zn 0.5000 0.5000 0.5000  6 Hf 2.39-2.58
11 In 0.0000 0.0000 0.3651  5 Hf 2.92-3.14
12 In 0.0000 0.0000 0.6349  5 Hf 2.92-3.14
13 In 0.5000 0.5000 0.1349  5 Hf 2.92-3.14
14 In 0.5000 0.5000 0.8651  5 Hf 2.92-3.14

Entry 6:
A plane-wave DFT calculation with GGA-PBE was carried out for a relaxed structure of Ac3HgPd.

- Distance to the lowest polymorph of the same formula: 17 meV per atom
- V: 369.4 Å³ per cell
- Crystal system: orthorhombic
- DFT formation energy: -0.425 eV per atom

Cell: 4.2953 9.5987 9.5987 Å, 111.01 90.00 90.00°
Closest atoms and distances in Å follow each position.
Fractional coordinates of all 10 atoms:
1 Ac 0.0000 0.1186 0.8814  2 Pd 3.06
2 Ac 0.0000 0.2644 0.5016  2 Pd 3.06
3 Ac 0.0000 0.5016 0.2644  2 Pd 3.06
4 Ac 0.0000 0.8814 0.1186  2 Pd 3.06
5 Ac 0.5000 0.5215 0.8617  2 Pd 3.00
6 Ac 0.5000 0.8617 0.5215  2 Pd 3.00
7 Hg 0.0000 0.6910 0.6910  8 Ac 3.44-3.85
8 Hg 0.5000 0.1915 0.1915  8 Ac 3.53
9 Pd 0.5000 0.1915 0.6915  6 Ac 3.00-3.06
10 Pd 0.5000 0.6915 0.1915  6 Ac 3.00-3.06

Entry 7:
A plane-wave DFT calculation with GGA-PBE was carried out for a relaxed structure of AlSI2O.

- Distance to the lowest polymorph of the same formula: 581 meV per atom
- Formation energy without anion corrections: 4.45 kcal/mol of atoms
- V: 124.4 Å³ per cell
- Crystal system: tetragonal

Cell: 5.8465 5.8465 3.6386 Å, 90.00 90.00 90.00°
Closest atoms and distances in Å follow each position.
Fractional coordinates of all 5 atoms:
1 Al 0.0000 0.0000 0.0000  8 I 3.44, 2 Al 3.64
2 S 0.5000 0.5000 0.5000  2 O 1.82
3 I 0.0000 0.5000 0.5000  2 S 2.92
4 I 0.5000 0.0000 0.5000  2 S 2.92
5 O 0.5000 0.5000 0.0000  2 S 1.82

Which value of V does entry 5 give?
345.2 Å³ per cell